Compound: LiPu2ZrS4
Source: Alexandria
Functional: GGA-PBE
Structure: relaxed

The total moment is 0.13 μB per cell. The electronic total energy comes out at -68.45 eV for the cell shown. Its density is 7.5 g/cm3.

The space group is P2/m (No. 10) and the conventional cell measures 6.4954, 3.8510 and 6.7666 Å, with angles of 90.00, 110.13 and 90.00 degrees. The asymmetric unit holds Li at (0.0000, 0.0000, 0.0000), Pu at (0.5000, 0.0000, 0.5000), Pu at (0.5000, 0.5000, 0.0000), Zr at (0.0000, 0.5000, 0.5000), S at (0.2313, 0.5000, 0.2466) and S at (0.2352, 0.0000, 0.7473).


Compound: Fe2CoIr
Source: Alexandria
Functional: GGA-PBE
Structure: relaxed

The total moment is 14.89 μB per cell. The electronic total energy comes out at -61.51 eV for the cell shown. Its density is 11.2 g/cm3.

The space group is Immm (No. 71) and the conventional cell measures 2.5998, 4.3313 and 9.5790 Å, with angles of 90.00, 90.00 and 90.00 degrees. The asymmetric unit holds Fe at (0.0000, 0.0000, 0.2401), Co at (0.0000, 0.0000, 0.0000) and Ir at (0.0000, 0.0000, 0.5000).